Entry 1:
Here is an optimized crystal structure of Na2CaBi3 from Alexandria via LeMat-Bulk. Energies are from PBE-GGA.

abc: 5.009 14.882 4.766
angles: 90.00 90.00 90.00
Space group Cmmm (No. 65)
Unique sites:
Na 0.000 0.175 0.000 (multiplicity 4)
Ca 0.000 0.500 0.000 (multiplicity 2)
Bi 0.000 0.000 0.500 (multiplicity 2)
Bi 0.000 0.336 0.500 (multiplicity 4)

Output
ΔE_f in eV per atom: -0.469
Size of the total moment in μB per atom: 0.00
Total energy in eV per atom: -3.183
ρ in Mg/m³: 6.7

Entry 2:
Here is an optimized crystal structure of IrPtBr6 from Alexandria via LeMat-Bulk. Energies are from PBE-GGA.

abc: 7.098 11.236 7.118
angles: 90.00 117.78 90.00
Space group C2/m (No. 12)
Unique sites:
Ir 0.000 0.000 0.000 (multiplicity 2)
Pt 0.000 0.500 0.500 (multiplicity 2)
Br 0.203 0.000 0.796 (multiplicity 4)
Br 0.244 0.351 0.745 (multiplicity 8)

Output
Size of the total moment in μB per atom: 0.08
Total energy in eV per atom: -3.285
Energy relative to the elements, uncorrected in eV/atom: -0.168
ρ in Mg/m³: 5.7

Entry 3:
Here is an optimized crystal structure of AcNdCo2 from Alexandria via LeMat-Bulk. Energies are from PBE-GGA.

abc: 4.029 6.071 7.992
angles: 90.00 90.00 90.00
Space group Pmc2_1 (No. 26)
Unique sites:
Ac 0.000 0.124 0.000 (multiplicity 2)
Nd 0.500 0.377 0.359 (multiplicity 2)
Co 0.000 0.350 0.648 (multiplicity 2)
Co 0.500 0.192 0.699 (multiplicity 2)

Output
ΔE_f in eV per atom: -0.008
ΔE to the lowest computed polymorph in kcal/mol of atoms: 0.00
Size of the total moment in μB per atom: 0.33
Total energy in eV per atom: -5.780
ρ in Mg/m³: 8.3

Entry 4:
Here is an optimized crystal structure of Pr2Tm3Co2 from Alexandria via LeMat-Bulk. Energies are from PBE-GGA.

abc: 12.198 3.622 9.011
angles: 90.00 116.90 90.00
Space group C2/m (No. 12)
Unique sites:
Pr 0.169 0.000 0.300 (multiplicity 4)
Tm 0.000 0.500 0.500 (multiplicity 2)
Tm 0.121 0.500 0.925 (multiplicity 4)
Co 0.174 0.000 0.743 (multiplicity 4)

Output
ΔE_f in eV per atom: -0.146
Size of the total moment in μB per atom: 0.00
Total energy in eV per atom: -5.458
ρ in Mg/m³: 8.5

Entry 5:
Here is an optimized crystal structure of PaAl2Hg from Alexandria via LeMat-Bulk. Energies are from PBE-GGA.

abc: 3.054 3.054 8.864
angles: 90.00 90.00 90.00
Space group P4/mmm (No. 123)
Unique sites:
Pa 0.000 0.000 0.000 (multiplicity 1)
Al 0.500 0.500 0.254 (multiplicity 2)
Hg 0.000 0.000 0.500 (multiplicity 1)

Output
ΔE_f in eV per atom: 0.023
ΔE to the lowest computed polymorph in kcal/mol of atoms: 2.56
Size of the total moment in μB per atom: 0.00
Total energy in eV per atom: -4.297
ρ in Mg/m³: 9.8

Entry 6:
Here is an optimized crystal structure of BaBeOs2 from Alexandria via LeMat-Bulk. Energies are from PBE-GGA.

abc: 7.360 4.248 6.469
angles: 90.00 112.39 90.00
Space group C2/m (No. 12)
Unique sites:
Ba 0.000 0.000 0.000 (multiplicity 2)
Be 0.000 0.500 0.500 (multiplicity 2)
Os 0.177 0.000 0.530 (multiplicity 4)

Output
ΔE_f in eV per atom: 0.112
Size of the total moment in μB per atom: 0.00
Total energy in eV per atom: -6.915
ρ in Mg/m³: 9.4